(1)
## TbPrSm4 (PBE)

Data for a relaxed structure of TbPrSm4.

a b c (Å): 6.6817 6.6817 6.6817
angles (deg): 60.00 60.00 60.00
Closest atoms and distances in Å follow each position.
Atoms (fractional coordinates):
Tb 0.0000 0.0000 0.0000  12 Sm 3.92, 4 Pr 4.09
Pr 0.7500 0.7500 0.7500  12 Sm 3.92, 4 Tb 4.09
Sm 0.3744 0.3744 0.3744  6 Sm 3.33-3.36
Sm 0.3744 0.3744 0.8767  6 Sm 3.33-3.36
Sm 0.3744 0.8767 0.3744  6 Sm 3.33-3.36
Sm 0.8767 0.3744 0.3744  6 Sm 3.33-3.36

Properties
offset from the most stable computed form: 14.9 kJ per mole of atoms
E: -26.72 eV/cell

(2)
## PmSm6ErTm2 (PBE)

Data for a relaxed structure of PmSm6ErTm2.

a b c (Å): 8.8638 8.8638 9.5422
angles (deg): 93.43 93.43 117.15
Closest atoms and distances in Å follow each position.
Atoms (fractional coordinates):
Pm 0.0295 0.9705 0.7500  4 Tm 3.41-3.48, 6 Sm 3.57-3.78
Pm 0.9705 0.0295 0.2500  4 Tm 3.41-3.48, 6 Sm 3.57-3.78
Sm 0.0087 0.5601 0.6846  3 Sm 3.24-3.61, 1 Tm 3.45, 1 Er 3.45, 1 Pm 3.57
Sm 0.1167 0.7598 0.0551  7 Sm 3.44-3.76, 1 Tm 3.51, 2 Pm 3.67-3.78
Sm 0.2402 0.8833 0.4449  7 Sm 3.44-3.76, 1 Tm 3.51, 2 Pm 3.67-3.78
Sm 0.2927 0.5146 0.8828  4 Sm 3.24-3.58, 3 Tm 3.29-3.46, 2 Er 3.43-3.53
Sm 0.4399 0.9913 0.8154  3 Sm 3.24-3.61, 1 Tm 3.45, 1 Er 3.45, 1 Pm 3.57
Sm 0.4854 0.7073 0.6172  4 Sm 3.24-3.58, 3 Tm 3.29-3.46, 2 Er 3.43-3.53
Sm 0.5146 0.2927 0.3828  4 Sm 3.24-3.58, 3 Tm 3.29-3.46, 2 Er 3.43-3.53
Sm 0.5601 0.0087 0.1846  3 Sm 3.24-3.61, 1 Tm 3.45, 1 Er 3.45, 1 Pm 3.57
Sm 0.7073 0.4854 0.1172  4 Sm 3.24-3.58, 3 Tm 3.29-3.46, 2 Er 3.43-3.53
Sm 0.7598 0.1167 0.5551  7 Sm 3.44-3.76, 1 Tm 3.51, 2 Pm 3.67-3.78
Sm 0.8833 0.2402 0.9449  7 Sm 3.44-3.76, 1 Tm 3.51, 2 Pm 3.67-3.78
Sm 0.9913 0.4399 0.3154  3 Sm 3.24-3.61, 1 Tm 3.45, 1 Er 3.45, 1 Pm 3.57
Er 0.4112 0.5888 0.2500  6 Sm 3.43-3.53, 2 Tm 3.51
Er 0.5888 0.4112 0.7500  6 Sm 3.43-3.53, 2 Tm 3.51
Tm 0.2032 0.3024 0.5484  6 Sm 3.29-3.66, 2 Pm 3.41-3.48, 1 Er 3.51
Tm 0.3024 0.2032 0.0484  6 Sm 3.29-3.66, 2 Pm 3.41-3.48, 1 Er 3.51
Tm 0.6976 0.7968 0.9516  6 Sm 3.29-3.66, 2 Pm 3.41-3.48, 1 Er 3.51
Tm 0.7968 0.6976 0.4516  6 Sm 3.29-3.66, 2 Pm 3.41-3.48, 1 Er 3.51

Properties
E: -90.78 eV/cell

(3)
## BeGeB (PBE)

Data for a relaxed structure of BeGeB.

a b c (Å): 2.9242 3.4723 8.5078
angles (deg): 78.35 84.39 65.17
Closest atoms and distances in Å follow each position.
Atoms (fractional coordinates):
Be 0.0000 0.0000 0.0000  4 B 1.91-2.00
Be 0.4922 0.8849 0.2312  4 B 1.90-2.01
Ge 0.1830 0.3805 0.4318  1 B 2.19
Ge 0.7086 0.6906 0.7973  1 B 2.19
B 0.1963 0.5108 0.1690  2 B 1.72, 1 Be 1.91
B 0.6991 0.5673 0.0598  2 B 1.72, 1 Be 1.90

Properties
offset from the most stable computed form: 4.9 kJ per mole of atoms
E: -28.84 eV/cell

(4)
## HfAs2IrCl (PBE)

Data for a relaxed structure of HfAs2IrCl.

a b c (Å): 4.7256 4.7256 5.3392
angles (deg): 90.00 90.00 90.00
Closest atoms and distances in Å follow each position.
Atoms (fractional coordinates):
Hf 0.0000 0.0000 0.0000  2 Ir 2.67
As 0.0000 0.5000 0.5000  2 Ir 2.36
As 0.5000 0.0000 0.5000  2 Ir 2.36
Ir 0.0000 0.0000 0.5000  4 As 2.36
Cl 0.5000 0.5000 0.0000  4 Hf 3.34, 8 As 3.57

Properties
E: -28.38 eV/cell
formation energy without anion corrections: 0.32 eV/atom

(5)
## Ac3BeGe3 (PBE)

Data for a relaxed structure of Ac3BeGe3.

a b c (Å): 10.0673 10.0673 10.0673
angles (deg): 156.04 152.95 36.44
Closest atoms and distances in Å follow each position.
Atoms (fractional coordinates):
Ac 0.0000 0.0000 0.0000  2 Be 3.22, 5 Ge 3.31-3.43
Ac 0.1819 0.6819 0.5000  8 Ge 3.31-3.55, 4 Be 3.40
Ac 0.3647 0.3647 0.0000  7 Ge 3.26-3.61
Be 0.6145 0.1145 0.5000  3 Ge 2.32-2.40
Ge 0.5533 0.5533 0.0000  2 Be 2.40
Ge 0.7359 0.2359 0.5000  1 Be 2.32
Ge 0.8206 0.8206 0.0000  2 Ge 2.64

Properties
offset from the most stable computed form: 0.0 kJ per mole of atoms
E: -34.05 eV/cell

(6)
## CsCuSiPd2 (PBE)

Data for a relaxed structure of CsCuSiPd2.

a b c (Å): 5.2318 5.2318 5.3067
angles (deg): 90.00 90.00 90.00
Closest atoms and distances in Å follow each position.
Atoms (fractional coordinates):
Cs 0.0000 0.0000 0.0000  4 Pd 2.62, 2 Cu 2.65
Cu 0.0000 0.0000 0.5000  2 Cs 2.65
Si 0.5000 0.5000 0.5000  4 Cu 3.70, 8 Pd 3.73
Pd 0.0000 0.5000 0.0000  2 Cs 2.62
Pd 0.5000 0.0000 0.0000  2 Cs 2.62

Properties
E: -11.73 eV/cell
formation energy without anion corrections: 1.81 eV/atom

(7)
## KGePO6 (PBE)

Data for a relaxed structure of KGePO6.

a b c (Å): 4.8277 4.8277 6.1200
angles (deg): 90.00 90.00 120.00
Closest atoms and distances in Å follow each position.
Atoms (fractional coordinates):
K 0.0000 0.0000 0.0000  6 O 2.75
Ge 0.3333 0.6667 0.5000  6 O 1.92
P 0.6667 0.3333 0.5000  6 O 1.71
O 0.3913 0.0341 0.6612  1 P 1.71
O 0.3913 0.3572 0.3388  1 P 1.71
O 0.6428 0.0341 0.3388  1 P 1.71
O 0.6428 0.6087 0.6612  1 P 1.71
O 0.9659 0.3572 0.6612  1 P 1.71
O 0.9659 0.6087 0.3388  1 P 1.71

Properties
E: -53.76 eV/cell
formation energy without anion corrections: -1.43 eV/atom

(8)
## Ag2GeIrAu (PBE)

Data for a relaxed structure of Ag2GeIrAu.

a b c (Å): 5.0462 5.0462 4.9828
angles (deg): 90.00 90.00 90.00
Closest atoms and distances in Å follow each position.
Atoms (fractional coordinates):
Ag 0.0000 0.5000 0.0000  2 Au 2.52
Ag 0.5000 0.0000 0.0000  2 Au 2.52
Ge 0.0000 0.0000 0.5000  8 Ag 3.55, 4 Ir 3.57
Ir 0.5000 0.5000 0.5000  2 Au 2.49
Au 0.5000 0.5000 0.0000  2 Ir 2.49, 4 Ag 2.52

Properties
E: -16.15 eV/cell

(9)
## PaSnIrPd (PBE)

Data for a relaxed structure of PaSnIrPd.

a b c (Å): 4.8326 4.8326 4.8326
angles (deg): 60.00 60.00 60.00
Closest atoms and distances in Å follow each position.
Atoms (fractional coordinates):
Pa 0.0000 0.0000 0.0000  4 Pd 2.96, 4 Ir 2.96
Sn 0.5000 0.5000 0.5000  4 Pd 2.96, 4 Ir 2.96
Ir 0.2500 0.2500 0.2500  4 Sn 2.96, 4 Pa 2.96
Pd 0.7500 0.7500 0.7500  4 Pa 2.96, 4 Sn 2.96

Properties
E: -29.73 eV/cell

(10)
## HfInTc2 (PBE)

Data for a relaxed structure of HfInTc2.

a b c (Å): 4.5233 4.5233 3.3769
angles (deg): 90.00 90.00 90.00
Closest atoms and distances in Å follow each position.
Atoms (fractional coordinates):
Hf 0.0000 0.0000 0.0000  8 Tc 2.82
In 0.5000 0.5000 0.0000  8 Tc 2.82
Tc 0.0000 0.5000 0.5000  4 Hf 2.82, 4 In 2.82
Tc 0.5000 0.0000 0.5000  4 Hf 2.82, 4 In 2.82

Properties
E: -33.75 eV/cell

(11)
## Cs2Tl3Hg2 (PBE)

Data for a relaxed structure of Cs2Tl3Hg2.

a b c (Å): 8.5738 8.5738 8.2314
angles (deg): 112.76 112.76 32.04
Closest atoms and distances in Å follow each position.
Atoms (fractional coordinates):
Cs 0.1300 0.1300 0.0097  4 Tl 3.87-4.24, 4 Hg 3.94-4.04, 1 Cs 4.22
Cs 0.8700 0.8700 0.9903  4 Tl 3.87-4.24, 4 Hg 3.94-4.04, 1 Cs 4.22
Tl 0.0000 0.0000 0.5000  4 Hg 3.19, 2 Tl 3.29
Tl 0.2127 0.2127 0.5839  3 Tl 3.22-3.29, 3 Hg 3.42-3.45
Tl 0.7873 0.7873 0.4161  3 Tl 3.22-3.29, 3 Hg 3.42-3.45
Hg 0.4346 0.4346 0.6777  5 Tl 3.19-3.45
Hg 0.5654 0.5654 0.3223  5 Tl 3.19-3.45

Properties
offset from the most stable computed form: 2.4 kJ per mole of atoms
E: -10.07 eV/cell

(12)
## SmSi2Ru (PBE)

Data for a relaxed structure of SmSi2Ru.

a b c (Å): 4.5018 4.5018 4.5018
angles (deg): 63.95 63.95 63.95
Closest atoms and distances in Å follow each position.
Atoms (fractional coordinates):
Sm 0.0000 0.0000 0.0000  8 Si 2.81-2.85
Si 0.2632 0.2632 0.2632  1 Ru 2.53, 1 Sm 2.81
Si 0.7368 0.7368 0.7368  1 Ru 2.53, 1 Sm 2.81
Ru 0.5000 0.5000 0.5000  2 Si 2.53

Properties
E: -25.74 eV/cell
formation energy without anion corrections: -0.23 eV/atom

(13)
## PmGa4Pt2Rh (PBE)

Data for a relaxed structure of PmGa4Pt2Rh.

a b c (Å): 9.1548 9.1548 9.1548
angles (deg): 27.09 27.09 27.09
Closest atoms and distances in Å follow each position.
Atoms (fractional coordinates):
Pm 0.0000 0.0000 0.0000  6 Ga 3.03
Ga 0.1326 0.1326 0.1326  3 Rh 2.64, 4 Pt 2.65-2.74
Ga 0.3994 0.3994 0.3994  3 Pt 2.61, 1 Rh 2.66
Ga 0.6006 0.6006 0.6006  3 Pt 2.61, 1 Rh 2.66
Ga 0.8674 0.8674 0.8674  3 Rh 2.64, 4 Pt 2.65-2.74
Pt 0.2360 0.2360 0.2360  7 Ga 2.61-2.74
Pt 0.7640 0.7640 0.7640  7 Ga 2.61-2.74
Rh 0.5000 0.5000 0.5000  8 Ga 2.64-2.66

Properties
E: -42.16 eV/cell

(14)
## Li2ZrP2 (PBE)

Data for a relaxed structure of Li2ZrP2.

a b c (Å): 7.3068 7.3068 2.9470
angles (deg): 90.00 90.00 90.00
Closest atoms and distances in Å follow each position.
Atoms (fractional coordinates):
Li 0.1224 0.3776 0.0000  1 Li 2.53, 6 P 2.54-2.67
Li 0.3776 0.8776 0.0000  1 Li 2.53, 6 P 2.54-2.67
Li 0.6224 0.1224 0.0000  1 Li 2.53, 6 P 2.54-2.67
Li 0.8776 0.6224 0.0000  1 Li 2.53, 6 P 2.54-2.67
Zr 0.0000 0.0000 0.5000  4 P 2.69, 2 Zr 2.95
Zr 0.5000 0.5000 0.5000  4 P 2.69, 2 Zr 2.95
P 0.1773 0.6773 0.5000  6 Li 2.54-2.67, 2 Zr 2.69
P 0.3227 0.1773 0.5000  6 Li 2.54-2.67, 2 Zr 2.69
P 0.6773 0.8227 0.5000  6 Li 2.54-2.67, 2 Zr 2.69
P 0.8227 0.3227 0.5000  6 Li 2.54-2.67, 2 Zr 2.69

Properties
E: -51.99 eV/cell

(15)
## Cs2AlNiCl (PBE)

Data for a relaxed structure of Cs2AlNiCl.

a b c (Å): 6.9903 6.9903 4.1526
angles (deg): 90.00 90.00 90.00
Closest atoms and distances in Å follow each position.
Atoms (fractional coordinates):
Cs 0.0000 0.5000 0.0000  2 Ni 3.50
Cs 0.5000 0.0000 0.0000  2 Ni 3.50
Al 0.0000 0.0000 0.5000  8 Cs 4.07, 2 Al 4.15
Ni 0.5000 0.5000 0.0000  2 Cl 2.08
Cl 0.5000 0.5000 0.5000  2 Ni 2.08

Properties
E: -12.60 eV/cell
formation energy without anion corrections: 0.10 eV/atom

(16)
## Ac2TmTe3 (PBE)

Data for a relaxed structure of Ac2TmTe3.

a b c (Å): 14.9698 14.2786 8.0039
angles (deg): 78.94 69.41 31.65
Closest atoms and distances in Å follow each position.
Atoms (fractional coordinates):
Ac 0.0466 0.0466 0.2034  6 Te 3.34-3.40
Ac 0.1215 0.1215 0.6285  6 Te 3.26-3.36
Ac 0.2034 0.2034 0.0466  6 Te 3.34-3.40
Ac 0.3715 0.3715 0.8785  6 Te 3.26-3.36
Ac 0.6285 0.6285 0.1215  6 Te 3.26-3.36
Ac 0.7966 0.7966 0.9534  6 Te 3.34-3.40
Ac 0.8785 0.8785 0.3715  6 Te 3.26-3.36
Ac 0.9534 0.9534 0.7966  6 Te 3.34-3.40
Tm 0.2924 0.2924 0.4576  6 Te 3.05-3.11
Tm 0.4576 0.4576 0.2924  6 Te 3.05-3.11
Tm 0.5424 0.5424 0.7076  6 Te 3.05-3.11
Tm 0.7076 0.7076 0.5424  6 Te 3.05-3.11
Te 0.0353 0.5382 0.2371  2 Tm 3.08-3.11, 4 Ac 3.33-3.40
Te 0.1529 0.5971 0.5971  2 Tm 3.05, 4 Ac 3.26-3.35
Te 0.2371 0.6894 0.0353  2 Tm 3.08-3.11, 4 Ac 3.33-3.40
Te 0.3106 0.7629 0.4618  2 Tm 3.08-3.11, 4 Ac 3.33-3.40
Te 0.4029 0.8471 0.8471  2 Tm 3.05, 4 Ac 3.26-3.35
Te 0.4618 0.9647 0.3106  2 Tm 3.08-3.11, 4 Ac 3.33-3.40
Te 0.5382 0.0353 0.6894  2 Tm 3.08-3.11, 4 Ac 3.33-3.40
Te 0.5971 0.1529 0.1529  2 Tm 3.05, 4 Ac 3.26-3.35
Te 0.6894 0.2371 0.5382  2 Tm 3.08-3.11, 4 Ac 3.33-3.40
Te 0.7629 0.3106 0.9647  2 Tm 3.08-3.11, 4 Ac 3.33-3.40
Te 0.8471 0.4029 0.4029  2 Tm 3.05, 4 Ac 3.26-3.35
Te 0.9647 0.4618 0.7629  2 Tm 3.08-3.11, 4 Ac 3.33-3.40

Properties
E: -121.37 eV/cell
formation energy without anion corrections: -1.37 eV/atom

(17)
## LaNdMgAl (PBE)

Data for a relaxed structure of LaNdMgAl.

a b c (Å): 5.4177 5.4177 5.4177
angles (deg): 60.00 60.00 60.00
Closest atoms and distances in Å follow each position.
Atoms (fractional coordinates):
La 0.0000 0.0000 0.0000  4 Mg 3.32, 4 Al 3.32
Nd 0.5000 0.5000 0.5000  4 Mg 3.32, 4 Al 3.32
Mg 0.7500 0.7500 0.7500  4 Nd 3.32, 4 La 3.32
Al 0.2500 0.2500 0.2500  4 Nd 3.32, 4 La 3.32

Properties
E: -16.04 eV/cell

(18)
## SrFeSbI2 (PBE)

Data for a relaxed structure of SrFeSbI2.

a b c (Å): 6.2908 6.2908 6.6134
angles (deg): 90.00 90.00 90.00
Closest atoms and distances in Å follow each position.
Atoms (fractional coordinates):
Sr 0.0000 0.0000 0.0000  4 I 3.15, 2 Sb 3.31
Fe 0.5000 0.5000 0.5000  4 Sb 4.45, 8 I 4.56
Sb 0.0000 0.0000 0.5000  2 Sr 3.31
I 0.0000 0.5000 0.0000  2 Sr 3.15
I 0.5000 0.0000 0.0000  2 Sr 3.15

Properties
offset from the most stable computed form: 64.8 kJ per mole of atoms
E: -14.97 eV/cell
formation energy without anion corrections: 0.48 eV/atom

(19)
## LaNbI2O (PBE)

Data for a relaxed structure of LaNbI2O.

a b c (Å): 6.4448 6.4448 4.2636
angles (deg): 90.00 90.00 90.00
Closest atoms and distances in Å follow each position.
Atoms (fractional coordinates):
La 0.0000 0.0000 0.0000  2 O 2.13
Nb 0.5000 0.5000 0.5000  8 I 3.86, 2 Nb 4.26
I 0.0000 0.5000 0.0000  2 La 3.22
I 0.5000 0.0000 0.0000  2 La 3.22
O 0.0000 0.0000 0.5000  2 La 2.13

Properties
offset from the most stable computed form: 30.7 kJ per mole of atoms
E: -25.84 eV/cell
formation energy without anion corrections: -0.56 eV/atom

(20)
## NaNd2Sm (PBE)

Data for a relaxed structure of NaNd2Sm.

a b c (Å): 13.1410 13.1410 13.1410
angles (deg): 15.72 15.72 15.72
Closest atoms and distances in Å follow each position.
Atoms (fractional coordinates):
Na 0.0000 0.0000 0.0000  2 Nd 3.56, 6 Na 3.59
Nd 0.0915 0.0915 0.0915  1 Na 3.56, 3 Sm 3.59, 6 Nd 3.59
Nd 0.9085 0.9085 0.9085  1 Na 3.56, 3 Sm 3.59, 6 Nd 3.59
Sm 0.5000 0.5000 0.5000  6 Nd 3.59, 6 Sm 3.59

Properties
offset from the most stable computed form: 3.9 kJ per mole of atoms
E: -15.04 eV/cell

Sequential size of the total moment output: 0.00 0.00 0.00 0.03 0.58 0.00 2.00 0.87 0.00 0.00 0.00 0.00 0.00 0.00 1.75 0.00 0.00 6.18 4.02 0.00 μB/f.u.